Record 1
First-principles (PBE) data for a relaxed Ba2NaCdPd crystal, as listed in Alexandria via LeMat-Bulk.

CIF file:
```
data_Ba2NaCdPd
_chemical_formula_sum 'Ba2 Na1 Cd1 Pd1'
_symmetry_space_group_name_H-M 'P 4/m m m'
_symmetry_Int_Tables_number 123
_symmetry_space_group_name_Hall '-P 4 2'
_cell_length_a 6.165
_cell_length_b 6.165
_cell_length_c 5.461
_cell_angle_alpha 90.00
_cell_angle_beta 90.00
_cell_angle_gamma 90.00
loop_
_atom_site_label
_atom_site_fract_x
_atom_site_fract_y
_atom_site_fract_z
Ba1 0.000 0.500 0.000
Na1 0.000 0.000 0.500
Cd1 0.500 0.500 0.500
Pd1 0.000 0.000 0.000
```

Values from the calculation:
The calculation puts the volume at 41.51 Å³ per atom. The formation energy is -1.0 eV per formula unit. The value obtained for the raw total energy is -2.449 eV/atom.

---

Record 2
First-principles (PBE) data for a relaxed BaNaCd2Pd crystal, as listed in Alexandria via LeMat-Bulk.

CIF file:
```
data_BaNaCd2Pd
_chemical_formula_sum 'Ba1 Na1 Cd2 Pd1'
_symmetry_space_group_name_H-M 'P 4/m m m'
_symmetry_Int_Tables_number 123
_symmetry_space_group_name_Hall '-P 4 2'
_cell_length_a 5.340
_cell_length_b 5.340
_cell_length_c 5.356
_cell_angle_alpha 90.00
_cell_angle_beta 90.00
_cell_angle_gamma 90.00
loop_
_atom_site_label
_atom_site_fract_x
_atom_site_fract_y
_atom_site_fract_z
Ba1 0.000 0.000 0.000
Na1 0.500 0.500 0.000
Cd1 0.000 0.500 0.500
Pd1 0.500 0.500 0.500
```

Values from the calculation:
The calculation puts the volume at 30.54 Å³ per atom. The formation energy is -1.1 eV per formula unit. The value obtained for the raw total energy is -2.282 eV/atom.

---

Record 3
First-principles (PBE) data for a relaxed BaNaCd2Pd crystal, as listed in Alexandria via LeMat-Bulk.

CIF file:
```
data_BaNaCd2Pd
_chemical_formula_sum 'Ba1 Na1 Cd2 Pd1'
_symmetry_space_group_name_H-M 'P 4/m m m'
_symmetry_Int_Tables_number 123
_symmetry_space_group_name_Hall '-P 4 2'
_cell_length_a 5.413
_cell_length_b 5.413
_cell_length_c 5.841
_cell_angle_alpha 90.00
_cell_angle_beta 90.00
_cell_angle_gamma 90.00
loop_
_atom_site_label
_atom_site_fract_x
_atom_site_fract_y
_atom_site_fract_z
Ba1 0.000 0.000 0.000
Na1 0.500 0.500 0.000
Cd1 0.000 0.500 0.500
Pd1 0.000 0.000 0.500
```

Values from the calculation:
The calculation puts the volume at 34.23 Å³ per atom. The formation energy is -1.0 eV per formula unit. The value obtained for the raw total energy is -2.247 eV/atom.

---

Record 4
First-principles (PBE) data for a relaxed BaNa2CdPd crystal, as listed in Alexandria via LeMat-Bulk.

CIF file:
```
data_BaNa2CdPd
_chemical_formula_sum 'Ba1 Na2 Cd1 Pd1'
_symmetry_space_group_name_H-M 'P 4/m m m'
_symmetry_Int_Tables_number 123
_symmetry_space_group_name_Hall '-P 4 2'
_cell_length_a 5.470
_cell_length_b 5.470
_cell_length_c 5.405
_cell_angle_alpha 90.00
_cell_angle_beta 90.00
_cell_angle_gamma 90.00
loop_
_atom_site_label
_atom_site_fract_x
_atom_site_fract_y
_atom_site_fract_z
Ba1 0.000 0.000 0.000
Na1 0.000 0.500 0.500
Cd1 0.500 0.500 0.000
Pd1 0.500 0.500 0.500
```

Values from the calculation:
The calculation puts the volume at 32.34 Å³ per atom. The formation energy is -0.5 eV per formula unit. The value obtained for the raw total energy is -2.242 eV/atom.

---

Record 5
First-principles (PBE) data for a relaxed Ba2NaCdPd crystal, as listed in Alexandria via LeMat-Bulk.

CIF file:
```
data_Ba2NaCdPd
_chemical_formula_sum 'Ba2 Na1 Cd1 Pd1'
_symmetry_space_group_name_H-M 'P 4/m m m'
_symmetry_Int_Tables_number 123
_symmetry_space_group_name_Hall '-P 4 2'
_cell_length_a 6.196
_cell_length_b 6.196
_cell_length_c 5.393
_cell_angle_alpha 90.00
_cell_angle_beta 90.00
_cell_angle_gamma 90.00
loop_
_atom_site_label
_atom_site_fract_x
_atom_site_fract_y
_atom_site_fract_z
Ba1 0.000 0.500 0.000
Na1 0.000 0.000 0.500
Cd1 0.500 0.500 0.500
Pd1 0.500 0.500 0.000
```

Values from the calculation:
The calculation puts the volume at 41.41 Å³ per atom. The formation energy is -1.4 eV per formula unit. The value obtained for the raw total energy is -2.533 eV/atom.

---

Record 6
First-principles (PBE) data for a relaxed BaNaPmCd crystal, as listed in Alexandria via LeMat-Bulk.

CIF file:
```
data_BaNaPmCd
_chemical_formula_sum 'Ba4 Na4 Pm4 Cd4'
_symmetry_space_group_name_H-M 'F -4 3 m'
_symmetry_Int_Tables_number 216
_symmetry_space_group_name_Hall 'F -4 2 3'
_cell_length_a 8.282
_cell_length_b 8.282
_cell_length_c 8.282
_cell_angle_alpha 90.00
_cell_angle_beta 90.00
_cell_angle_gamma 90.00
loop_
_atom_site_label
_atom_site_fract_x
_atom_site_fract_y
_atom_site_fract_z
Ba1 0.000 0.000 0.000
Na1 0.250 0.250 0.250
Pm1 0.000 0.000 0.500
Cd1 0.250 0.250 0.750
```

Values from the calculation:
The calculation puts the volume at 35.51 Å³ per atom. The formation energy is 0.1 eV per formula unit. The value obtained for the raw total energy is -2.193 eV/atom.

---

Record 7
First-principles (PBE) data for a relaxed BaNaPrCd crystal, as listed in Alexandria via LeMat-Bulk.

CIF file:
```
data_BaNaPrCd
_chemical_formula_sum 'Ba4 Na4 Pr4 Cd4'
_symmetry_space_group_name_H-M 'F -4 3 m'
_symmetry_Int_Tables_number 216
_symmetry_space_group_name_Hall 'F -4 2 3'
_cell_length_a 8.331
_cell_length_b 8.331
_cell_length_c 8.331
_cell_angle_alpha 90.00
_cell_angle_beta 90.00
_cell_angle_gamma 90.00
loop_
_atom_site_label
_atom_site_fract_x
_atom_site_fract_y
_atom_site_fract_z
Ba1 0.000 0.000 0.000
Na1 0.250 0.250 0.250
Pr1 0.000 0.000 0.500
Cd1 0.250 0.250 0.750
```

Values from the calculation:
The calculation puts the volume at 36.14 Å³ per atom. The formation energy is 0.1 eV per formula unit. The value obtained for the raw total energy is -2.220 eV/atom.

---

Record 8
First-principles (PBE) data for a relaxed BaNaCd2Pt crystal, as listed in Alexandria via LeMat-Bulk.

CIF file:
```
data_BaNaCd2Pt
_chemical_formula_sum 'Ba1 Na1 Cd2 Pt1'
_symmetry_space_group_name_H-M 'P 4/m m m'
_symmetry_Int_Tables_number 123
_symmetry_space_group_name_Hall '-P 4 2'
_cell_length_a 5.330
_cell_length_b 5.330
_cell_length_c 5.397
_cell_angle_alpha 90.00
_cell_angle_beta 90.00
_cell_angle_gamma 90.00
loop_
_atom_site_label
_atom_site_fract_x
_atom_site_fract_y
_atom_site_fract_z
Ba1 0.000 0.000 0.000
Na1 0.500 0.500 0.000
Cd1 0.000 0.500 0.500
Pt1 0.500 0.500 0.500
```

Values from the calculation:
The calculation puts the volume at 30.66 Å³ per atom. The formation energy is -1.3 eV per formula unit. The value obtained for the raw total energy is -2.483 eV/atom.

---

Record 9
First-principles (PBE) data for a relaxed BaNaCdPt crystal, as listed in Alexandria via LeMat-Bulk.

CIF file:
```
data_BaNaCdPt
_chemical_formula_sum 'Ba4 Na4 Cd4 Pt4'
_symmetry_space_group_name_H-M 'F -4 3 m'
_symmetry_Int_Tables_number 216
_symmetry_space_group_name_Hall 'F -4 2 3'
_cell_length_a 7.478
_cell_length_b 7.478
_cell_length_c 7.478
_cell_angle_alpha 90.00
_cell_angle_beta 90.00
_cell_angle_gamma 90.00
loop_
_atom_site_label
_atom_site_fract_x
_atom_site_fract_y
_atom_site_fract_z
Ba1 0.000 0.000 0.000
Na1 0.250 0.250 0.750
Cd1 0.000 0.000 0.500
Pt1 0.250 0.250 0.250
```

Values from the calculation:
The calculation puts the volume at 26.13 Å³ per atom. The formation energy is -1.1 eV per formula unit. The value obtained for the raw total energy is -2.820 eV/atom.

---

Record 10
First-principles (PBE) data for a relaxed BaNaCd2Pt2 crystal, as listed in Alexandria via LeMat-Bulk.

CIF file:
```
data_BaNaCd2Pt2
_chemical_formula_sum 'Ba1 Na1 Cd2 Pt2'
_symmetry_space_group_name_H-M 'P -3 m 1'
_symmetry_Int_Tables_number 164
_symmetry_space_group_name_Hall '-P 3 2"'
_cell_length_a 4.7649
_cell_length_b 4.7649
_cell_length_c 7.5946
_cell_angle_alpha 90.00
_cell_angle_beta 90.00
_cell_angle_gamma 120.00
loop_
_atom_site_label
_atom_site_fract_x
_atom_site_fract_y
_atom_site_fract_z
Ba1 0.0000 0.0000 0.0000
Na1 0.0000 0.0000 0.5000
Cd1 0.3333 0.6667 0.3297
Pt1 0.3333 0.6667 0.7183
```

Values from the calculation:
The calculation puts the volume at 24.89 Å³ per atom. The formation energy is -2.6 eV per formula unit. The value obtained for the raw total energy is -3.296 eV/atom.

---

Record 11
First-principles (PBE) data for a relaxed BaNaCd2Pt crystal, as listed in Alexandria via LeMat-Bulk.

CIF file:
```
data_BaNaCd2Pt
_chemical_formula_sum 'Ba1 Na1 Cd2 Pt1'
_symmetry_space_group_name_H-M 'P 4/m m m'
_symmetry_Int_Tables_number 123
_symmetry_space_group_name_Hall '-P 4 2'
_cell_length_a 5.402
_cell_length_b 5.402
_cell_length_c 5.893
_cell_angle_alpha 90.00
_cell_angle_beta 90.00
_cell_angle_gamma 90.00
loop_
_atom_site_label
_atom_site_fract_x
_atom_site_fract_y
_atom_site_fract_z
Ba1 0.000 0.000 0.000
Na1 0.500 0.500 0.000
Cd1 0.000 0.500 0.500
Pt1 0.000 0.000 0.500
```

Values from the calculation:
The calculation puts the volume at 34.39 Å³ per atom. The formation energy is -1.3 eV per formula unit. The value obtained for the raw total energy is -2.490 eV/atom.

---

Record 12
First-principles (PBE) data for a relaxed RbBaNa2Cd crystal, as listed in Alexandria via LeMat-Bulk.

CIF file:
```
data_RbBaNa2Cd
_chemical_formula_sum 'Rb1 Ba1 Na2 Cd1'
_symmetry_space_group_name_H-M 'P 4/m m m'
_symmetry_Int_Tables_number 123
_symmetry_space_group_name_Hall '-P 4 2'
_cell_length_a 6.322
_cell_length_b 6.322
_cell_length_c 6.597
_cell_angle_alpha 90.00
_cell_angle_beta 90.00
_cell_angle_gamma 90.00
loop_
_atom_site_label
_atom_site_fract_x
_atom_site_fract_y
_atom_site_fract_z
Rb1 0.000 0.000 0.000
Ba1 0.500 0.500 0.000
Na1 0.000 0.500 0.500
Cd1 0.500 0.500 0.500
```

Values from the calculation:
The calculation puts the volume at 52.73 Å³ per atom. The formation energy is 0.2 eV per formula unit. The value obtained for the raw total energy is -1.249 eV/atom.

---

The lowest raw total energy belongs to which entry?
BaNaCd2Pt2